# 1
A plane-wave DFT calculation with PBE was carried out for a relaxed ZrRe3Ir crystal.

Formation enthalpy at 0 K = 1366 kJ/mol of formula units
Total magnetic moment = 0.0 Bohr magnetons per cell

Unit cell a=4.675 b=4.675 c=4.675 alpha=90.00 beta=90.00 gamma=90.00
Space group Pm-3m (No. 221)
Unique sites:
1 Zr 0.000 0.000 0.000 (multiplicity 1)
2 Re 0.000 0.000 0.500 (multiplicity 3)
3 Ir 0.500 0.500 0.500 (multiplicity 1)

---

# 2
A plane-wave DFT calculation with PBE was carried out for a relaxed TbTm2C3 crystal.

Formation enthalpy at 0 K = -54 kJ/mol of formula units
Total magnetic moment = 0.0 Bohr magnetons per cell

Unit cell a=5.588 b=10.156 c=7.429 alpha=90.00 beta=90.00 gamma=90.00
Space group Imma (No. 74)
Unique sites:
1 Tb 0.000 0.250 0.032 (multiplicity 4)
2 Tm 0.000 0.075 0.669 (multiplicity 8)
3 C 0.124 0.000 0.000 (multiplicity 8)
4 C 0.250 0.250 0.750 (multiplicity 4)

---

# 3
A plane-wave DFT calculation with PBE was carried out for a relaxed NaAcPd crystal.

Formation enthalpy at 0 K = -72 kJ/mol of formula units
Total magnetic moment = 0.0 Bohr magnetons per cell

Unit cell a=4.3058 b=4.3058 c=6.4101 alpha=90.00 beta=90.00 gamma=120.00
Space group P3m1 (No. 156)
Unique sites:
1 Na 0.0000 0.0000 0.0000 (multiplicity 1)
2 Ac 0.3333 0.6667 0.5003 (multiplicity 1)
3 Pd 0.6667 0.3333 0.2537 (multiplicity 1)

---

# 4
A plane-wave DFT calculation with PBE was carried out for a relaxed SiBN3 crystal.

Formation energy without anion corrections = 1.7362 eV/atom
Total magnetic moment = 0.0 Bohr magnetons per cell

Unit cell a=3.537 b=3.537 c=3.537 alpha=90.00 beta=90.00 gamma=90.00
Space group Pm-3m (No. 221)
Unique sites:
1 Si 0.000 0.000 0.000 (multiplicity 1)
2 B 0.500 0.500 0.500 (multiplicity 1)
3 N 0.000 0.000 0.500 (multiplicity 3)

---

# 5
A plane-wave DFT calculation with PBE was carried out for a relaxed ErSi2IrOs crystal.

Formation energy without anion corrections = -0.9194 eV/atom
Total magnetic moment = 0.0 Bohr magnetons per cell

Unit cell a=4.136 b=4.136 c=9.693 alpha=90.00 beta=90.00 gamma=90.00
Space group I-4m2 (No. 119)
Unique sites:
1 Er 0.000 0.000 0.000 (multiplicity 2)
2 Si 0.000 0.000 0.375 (multiplicity 4)
3 Ir 0.000 0.500 0.250 (multiplicity 2)
4 Os 0.000 0.500 0.750 (multiplicity 2)

---

# 6
A plane-wave DFT calculation with PBE was carried out for a relaxed Sc4CrP crystal.

Formation enthalpy at 0 K = 316 kJ/mol of formula units
Total magnetic moment = 19.1 Bohr magnetons per cell

Unit cell a=8.047 b=8.047 c=8.047 alpha=90.00 beta=90.00 gamma=90.00
Space group F-43m (No. 216)
Unique sites:
1 Sc 0.124 0.124 0.124 (multiplicity 16)
2 Cr 0.250 0.250 0.750 (multiplicity 4)
3 P 0.000 0.000 0.500 (multiplicity 4)

---

# 7
A plane-wave DFT calculation with PBE was carried out for a relaxed NaCeI4 crystal.

Formation energy without anion corrections = -1.3100 eV/atom
Total magnetic moment = 1.0 Bohr magnetons per cell

Unit cell a=7.502 b=4.651 c=8.043 alpha=90.00 beta=91.06 gamma=90.00
Space group P2/m (No. 10)
Unique sites:
1 Na 0.000 0.000 0.000 (multiplicity 1)
2 Ce 0.000 0.500 0.500 (multiplicity 1)
3 I 0.228 0.500 0.182 (multiplicity 2)
4 I 0.243 0.000 0.656 (multiplicity 2)

---

# 8
A plane-wave DFT calculation with PBE was carried out for a relaxed GaSiNiOs crystal.

Formation energy without anion corrections = -0.2365 eV/atom
Total magnetic moment = 0.0 Bohr magnetons per cell

Unit cell a=3.024 b=3.833 c=9.044 alpha=90.00 beta=90.00 gamma=90.00
Space group Imm2 (No. 44)
Unique sites:
1 Ga 0.000 0.000 0.000 (multiplicity 2)
2 Si 0.000 0.500 0.769 (multiplicity 2)
3 Ni 0.000 0.000 0.459 (multiplicity 2)
4 Os 0.000 0.500 0.219 (multiplicity 2)

---

# 9
A plane-wave DFT calculation with PBE was carried out for a relaxed Y5Cd2Os2 crystal.

Formation enthalpy at 0 K = -224 kJ/mol of formula units
Total magnetic moment = 0.0 Bohr magnetons per cell

Unit cell a=16.499 b=7.455 c=7.584 alpha=90.00 beta=90.00 gamma=90.00
Space group Cmce (No. 64)
Unique sites:
1 Y 0.000 0.000 0.000 (multiplicity 4)
2 Y 0.121 0.183 0.317 (multiplicity 16)
3 Cd 0.224 0.000 0.000 (multiplicity 8)
4 Os 0.000 0.114 0.618 (multiplicity 8)

---

# 10
A plane-wave DFT calculation with PBE was carried out for a relaxed DyY6Te8 crystal.

Formation energy without anion corrections = -1.3852 eV/atom
Total magnetic moment = 0.0 Bohr magnetons per cell

Unit cell a=12.297 b=12.297 c=12.297 alpha=90.00 beta=90.00 gamma=90.00
Space group Fm-3m (No. 225)
Unique sites:
1 Dy 0.000 0.000 0.000 (multiplicity 4)
2 Y 0.000 0.250 0.250 (multiplicity 24)
3 Te 0.000 0.000 0.255 (multiplicity 24)
4 Te 0.250 0.250 0.250 (multiplicity 8)

---

# 11
A plane-wave DFT calculation with PBE was carried out for a relaxed Pm4GeAsCl2 crystal.

Formation energy without anion corrections = -1.3920 eV/atom
Total magnetic moment = 0.0 Bohr magnetons per cell

Unit cell a=7.241 b=4.228 c=7.331 alpha=90.00 beta=109.71 gamma=90.00
Space group P2/m (No. 10)
Unique sites:
1 Pm 0.226 0.000 0.245 (multiplicity 2)
2 Pm 0.227 0.500 0.740 (multiplicity 2)
3 Ge 0.000 0.000 0.500 (multiplicity 1)
4 As 0.000 0.500 0.000 (multiplicity 1)
5 Cl 0.500 0.000 0.000 (multiplicity 1)
6 Cl 0.500 0.500 0.500 (multiplicity 1)

---

# 12
A plane-wave DFT calculation with PBE was carried out for a relaxed CaY3Zn4 crystal.

Formation enthalpy at 0 K = -257 kJ/mol of formula units
Total magnetic moment = 0.0 Bohr magnetons per cell

Unit cell a=5.081 b=5.081 c=7.216 alpha=90.00 beta=90.00 gamma=90.00
Space group P4/mmm (No. 123)
Unique sites:
1 Ca 0.000 0.000 0.000 (multiplicity 1)
2 Y 0.000 0.000 0.500 (multiplicity 1)
3 Y 0.500 0.500 0.000 (multiplicity 1)
4 Y 0.500 0.500 0.500 (multiplicity 1)
5 Zn 0.000 0.500 0.256 (multiplicity 4)